Entry 1:
This record from Alexandria via LeMat-Bulk describes an optimized crystal structure of InSn2Se2. The functional is PBE.

Calculated values
**Energy relative to the lowest polymorph listed for this composition**: 7 meV per atom
**Formation energy without anion corrections**: -0.1787 eV/atom

Cell and atoms, written as extended XYZ:
```
10
Lattice="8.2921 0.0000 0.0000 0.0000 8.2921 0.0000 0.0000 0.0000 3.9732" Properties=species:S:1:pos:R:3 pbc="T T T"
In 0.0000 0.0000 0.0000
In 4.1461 4.1461 0.0000
Sn 1.3574 2.7886 1.9866
Sn 2.7886 6.9347 1.9866
Sn 5.5035 1.3574 1.9866
Sn 6.9347 5.5035 1.9866
Se 1.3006 5.4467 0.0000
Se 2.8455 1.3006 0.0000
Se 5.4467 6.9915 0.0000
Se 6.9915 2.8455 0.0000
```

---

Entry 2:
This record from Alexandria via LeMat-Bulk describes an optimized crystal structure of IrC3. The functional is PBE.

Calculated values
**Energy of formation**: 1.056 eV per atom
**Energy relative to the lowest polymorph listed for this composition**: 339 meV per atom

Cell and atoms, written as extended XYZ:
```
4
Lattice="-1.3700 2.7903 4.5160 1.3700 -2.7903 4.5160 1.3700 2.7903 -4.5160" Properties=species:S:1:pos:R:3 pbc="T T T"
Ir 0.0000 0.0000 0.0000
C 1.3700 1.4889 0.0000
C 0.0000 0.0000 4.5160
C 0.0000 1.3014 4.5160
```

---

Entry 3:
This record from Alexandria via LeMat-Bulk describes an optimized crystal structure of ZnFeOs2. The functional is PBE.

Calculated values
**Energy of formation**: 0.304 eV per atom

Cell and atoms, written as extended XYZ:
```
4
Lattice="1.3929 -2.2784 0.0000 1.3929 2.2784 0.0000 0.0000 0.0000 8.8149" Properties=species:S:1:pos:R:3 pbc="T T T"
Zn 0.0000 0.0000 0.0000
Fe 0.0000 0.0000 4.4074
Os 1.3929 0.0000 2.2720
Os 1.3929 0.0000 6.5429
```

---

Entry 4:
This record from Alexandria via LeMat-Bulk describes an optimized crystal structure of BeSi2H. The functional is PBE.

Calculated values
**Energy relative to the lowest polymorph listed for this composition**: 464 meV per atom

Cell and atoms, written as extended XYZ:
```
4
Lattice="0.0000 2.7137 2.7137 2.7137 0.0000 2.7137 2.7137 2.7137 0.0000" Properties=species:S:1:pos:R:3 pbc="T T T"
Be 0.0000 0.0000 0.0000
Si 1.3568 1.3568 1.3568
Si 4.0705 4.0705 4.0705
H 2.7137 2.7137 2.7137
```

---

Number 1: density 6.20 Mg/m³, electronic total energy -37.21 eV per cell. Number 2: density 5.49 Mg/m³, electronic total energy -32.31 eV per cell. Number 3: density 14.89 Mg/m³, electronic total energy -30.98 eV per cell. Number 4: density 2.75 Mg/m³, electronic total energy -15.81 eV per cell.